1.
A relaxed structure of TaCuCl6, computed with PBE.

a b c (Å): 6.7558 6.7558 6.0051
angles (deg): 91.41 91.41 119.37
Last column: nearest neighbours and their distance in Å.
Fractional coordinates of all 8 atoms:
Ta (0.0000, 0.0000, 0.0000)  6 Cl 2.38-2.39
Cu (0.0000, 0.0000, 0.5000)  6 Cl 2.44-2.57
Cl (0.0046, 0.2925, 0.2327)  1 Ta 2.38, 1 Cu 2.57
Cl (0.2780, 0.2780, 0.7716)  1 Ta 2.39, 1 Cu 2.44
Cl (0.2925, 0.0046, 0.2327)  1 Ta 2.38, 1 Cu 2.57
Cl (0.7075, 0.9954, 0.7673)  1 Ta 2.38, 1 Cu 2.57
Cl (0.7220, 0.7220, 0.2284)  1 Ta 2.39, 1 Cu 2.44
Cl (0.9954, 0.7075, 0.7673)  1 Ta 2.38, 1 Cu 2.57

Properties
- E_form (uncorrected): -1.08 eV/atom
- Energy above the most stable polymorph in this dataset: 0.000 eV per atom
- Symmetry: C2/m, No. 12

---

2.
A relaxed structure of TaCuCl, computed with PBE.

a b c (Å): 7.2072 7.1811 2.9428
angles (deg): 78.70 77.70 23.60
Last column: nearest neighbours and their distance in Å.
Fractional coordinates of all 3 atoms:
Ta (0.0000, 0.0000, 0.0000)  4 Cu 2.64-2.71, 4 Cl 2.65-2.72, 4 Ta 2.94
Cu (0.3777, 0.3777, 0.6223)  4 Ta 2.64-2.71, 4 Cu 2.94
Cl (0.6227, 0.6227, 0.3773)  4 Ta 2.65-2.72, 4 Cl 2.94

Properties
- E_form (uncorrected): 0.08 eV/atom
- Energy above the most stable polymorph in this dataset: 0.137 eV per atom
- Symmetry: Fmm2, No. 42

---

3.
A relaxed structure of TaCuCl3, computed with PBE.

a b c (Å): 4.6988 4.6988 4.6988
angles (deg): 90.00 90.00 90.00
Last column: nearest neighbours and their distance in Å.
Fractional coordinates of all 5 atoms:
Ta (0.0000, 0.0000, 0.0000)  12 Cl 3.32
Cu (0.5000, 0.5000, 0.5000)  6 Cl 2.35
Cl (0.0000, 0.5000, 0.5000)  2 Cu 2.35
Cl (0.5000, 0.0000, 0.5000)  2 Cu 2.35
Cl (0.5000, 0.5000, 0.0000)  2 Cu 2.35

Properties
- E_form (uncorrected): 0.53 eV/atom
- Energy above the most stable polymorph in this dataset: 0.548 eV per atom
- Symmetry: Pm-3m, No. 221

---

4.
A relaxed structure of TaCuCl2, computed with PBE.

a b c (Å): 11.5311 11.5311 11.5311
angles (deg): 15.20 15.20 15.20
Last column: nearest neighbours and their distance in Å.
Fractional coordinates of all 4 atoms:
Ta (0.0000, 0.0000, 0.0000)  6 Cl 2.54
Cu (0.5000, 0.5000, 0.5000)  6 Cu 3.05
Cl (0.2798, 0.2798, 0.2798)  3 Ta 2.54
Cl (0.7202, 0.7202, 0.7202)  3 Ta 2.54

Properties
- E_form (uncorrected): -0.23 eV/atom
- Energy above the most stable polymorph in this dataset: 0.182 eV per atom
- Symmetry: R-3m, No. 166

---

Question: Which value of E_form (uncorrected) does entry 1 give?
Answer: -1.08 eV/atom